1.
Density functional theory data (GGA-PBE) for a relaxed structure of LiMgRe.

Properties
For the energy above the most stable polymorph in this dataset, the calculation gives 365 kJ/mol of formula units. Its formation energy is 1.32 eV/atom.

Cell and atoms, written as POSCAR:
```
LiMgRe
1.0
0.0000 2.9705 2.9705
2.9705 0.0000 2.9705
2.9705 2.9705 0.0000
Li Mg Re
1 1 1
Cartesian
0.0000 0.0000 0.0000
4.4557 4.4557 4.4557
1.4852 1.4852 1.4852
```

***

2.
Density functional theory data (GGA-PBE) for a relaxed structure of CoCuRe3.

Properties
For the energy above the most stable polymorph in this dataset, the calculation gives 0 kJ/mol of formula units. Its formation energy is 1.77 eV/atom.

Cell and atoms, written as POSCAR:
```
CoCuRe3
1.0
4.3861 0.0000 0.0000
0.0000 4.3861 0.0000
0.0000 0.0000 4.3861
Co Cu Re
1 1 3
Cartesian
0.0000 0.0000 0.0000
2.1930 2.1930 2.1930
0.0000 0.0000 2.1930
0.0000 2.1930 0.0000
2.1930 0.0000 0.0000
```

***

3.
Density functional theory data (GGA-PBE) for a relaxed structure of V3AsC.

Properties
For the energy above the most stable polymorph in this dataset, the calculation gives 150 kJ/mol of formula units. Its formation energy is -0.20 eV/atom.

Cell and atoms, written as POSCAR:
```
V3AsC
1.0
3.9741 0.0000 0.0000
0.0000 3.9741 0.0000
0.0000 0.0000 3.9741
V As C
3 1 1
Cartesian
0.0000 0.0000 1.9870
0.0000 1.9870 0.0000
1.9870 0.0000 0.0000
1.9870 1.9870 1.9870
0.0000 0.0000 0.0000
```

***

4.
Density functional theory data (GGA-PBE) for a relaxed structure of Rb2MgF.

Properties
For the energy above the most stable polymorph in this dataset, the calculation gives 158 kJ/mol of formula units. The value obtained for the formation energy (no corrections) is -0.6563 eV per atom.

Cell and atoms, written as POSCAR:
```
Rb2MgF
1.0
0.0000 4.3195 4.3195
4.3195 0.0000 4.3195
4.3195 4.3195 0.0000
Rb Mg F
2 1 1
Cartesian
2.1597 2.1597 2.1597
6.4792 6.4792 6.4792
0.0000 0.0000 0.0000
4.3195 4.3195 4.3195
```

***

5.
Density functional theory data (GGA-PBE) for a relaxed structure of Tb2PrPu.

Properties
For the energy above the most stable polymorph in this dataset, the calculation gives 0 kJ/mol of formula units. Its formation energy is 0.11 eV/atom.

Cell and atoms, written as POSCAR:
```
Tb2PrPu
1.0
3.5454 0.0000 0.0000
0.0000 3.5454 0.0000
0.0000 0.0000 10.1207
Tb Pr Pu
2 1 1
Cartesian
0.0000 0.0000 2.4051
0.0000 0.0000 7.7157
1.7727 1.7727 5.0604
1.7727 1.7727 0.0000
```

***

6.
Density functional theory data (GGA-PBE) for a relaxed structure of Ba2AcMoN4.

Properties
The value obtained for the formation energy (no corrections) is -0.8000 eV per atom.

Cell and atoms, written as POSCAR:
```
Ba2AcMoN4
1.0
7.9438 0.0000 0.0000
0.0000 7.6277 0.0000
0.0000 0.0000 5.9065
Ba Ac Mo N
4 2 2 8
Cartesian
1.9684 1.1553 0.0000
2.0035 6.4724 2.9533
5.9404 6.4724 2.9533
5.9754 1.1553 0.0000
0.0000 2.8073 3.0334
3.9719 4.8203 0.0802
0.0000 5.0197 0.2220
3.9719 2.6080 3.1753
0.0000 3.1757 5.6194
0.0000 5.0199 2.1009
1.6083 5.9107 5.6478
2.3636 1.7169 2.6946
3.9719 2.6078 5.0542
3.9719 4.4520 2.6662
5.5803 1.7169 2.6946
6.3355 5.9107 5.6478
```

***

| no. | calculated volume (Å³ per atom) |
| --- | --- |
| 1 | 17.47 |
| 2 | 16.88 |
| 3 | 12.55 |
| 4 | 40.30 |
| 5 | 31.80 |
| 6 | 22.37 |